(1)
Density functional theory data (PBE-GGA) for a geometry-optimized TlRu3O structure.

Cell lengths 5.0628, 5.0628, 5.0628 Å; angles 90.00, 90.00, 90.00 degrees
Closest atoms and distances in Å follow each position.
Positions (direct):
Ru (0.0000, 0.5000, 0.0000)  2 Tl 2.53
Ru (0.0000, 0.0000, 0.5000)  2 Tl 2.53
Ru (0.5000, 0.0000, 0.0000)  2 Tl 2.53
Tl (0.0000, 0.0000, 0.0000)  6 Ru 2.53
O (0.5000, 0.5000, 0.5000)  12 Ru 3.58

* size of the total moment: 7.70 μB per formula unit
* ΔE_f (raw): 2.77 eV per atom
* relative energy among the computed polymorphs: 11.90 eV/f.u.
* calculated total energy: -4.26 eV per atom

(2)
Density functional theory data (PBE-GGA) for a geometry-optimized TlRuO3 structure.

Cell lengths 3.1284, 7.4082, 7.0542 Å; angles 73.70, 90.09, 89.97 degrees
Closest atoms and distances in Å follow each position.
Positions (direct):
Tl (0.9194, 0.3050, 0.3162)  6 O 2.68-2.95
Tl (0.4144, 0.7562, 0.6968)  6 O 2.68-2.95
Ru (0.9161, 0.2015, 0.8456)  1 O 1.78
Ru (0.4177, 0.8597, 0.1674)  1 O 1.78
O (0.9169, 0.9075, 0.9694)  3 Ru 2.06-2.11
O (0.4156, 0.1685, 0.6823)  2 Ru 2.00
O (0.9158, 0.4503, 0.8033)  1 Ru 1.78
O (0.4169, 0.1537, 0.0436)  3 Ru 2.06-2.11
O (0.9182, 0.8926, 0.3306)  2 Ru 2.00
O (0.4180, 0.6108, 0.2096)  1 Ru 1.78

* size of the total moment: 1.00 μB per formula unit
* ΔE_f (raw): -0.78 eV per atom
* calculated total energy: -6.09 eV per atom

(3)
Density functional theory data (PBE-GGA) for a geometry-optimized Tl2RuO4 structure.

Cell lengths 3.8877, 3.8877, 7.9556 Å; angles 75.86, 75.86, 90.00 degrees
Closest atoms and distances in Å follow each position.
Positions (direct):
Ru (0.0000, 0.0000, 0.0000)  6 O 1.91-1.94
Tl (0.6551, 0.6551, 0.6897)  8 O 2.78-3.02
Tl (0.3449, 0.3449, 0.3103)  8 O 2.78-3.02
O (0.8719, 0.8719, 0.2562)  1 Ru 1.91
O (0.1281, 0.1281, 0.7438)  1 Ru 1.91
O (0.0000, 0.5000, 0.0000)  2 Ru 1.94
O (0.5000, 0.0000, 0.0000)  2 Ru 1.94

* size of the total moment: 1.48 μB per formula unit
* ΔE_f (raw): -0.70 eV per atom
* relative energy among the computed polymorphs: 0.50 eV/f.u.
* calculated total energy: -5.54 eV per atom

(4)
Density functional theory data (PBE-GGA) for a geometry-optimized TlRuO3 structure.

Cell lengths 4.1864, 4.1864, 4.1864 Å; angles 90.00, 90.00, 90.00 degrees
Closest atoms and distances in Å follow each position.
Positions (direct):
Ru (0.5000, 0.5000, 0.5000)  12 O 2.96
Tl (0.0000, 0.0000, 0.0000)  6 O 2.09
O (0.0000, 0.5000, 0.0000)  2 Tl 2.09
O (0.0000, 0.0000, 0.5000)  2 Tl 2.09
O (0.5000, 0.0000, 0.0000)  2 Tl 2.09

* size of the total moment: 4.49 μB per formula unit
* ΔE_f (raw): 0.72 eV per atom
* calculated total energy: -4.59 eV per atom